# LaVTeI2

A relaxed structure of LaVTeI2 (PBE-GGA, the Alexandria database).

Summary:
Its formation energy from raw total energies is -0.4 eV/f.u. Its theoretical density is 3.92 g/cm3. The calculation puts the magnetization at 4.0 μB per cell. The density of states at the Fermi level is 5.44 states/eV/f.u.

CIF file:
```
data_LaVTeI2
_cell_length_a 6.230
_cell_length_b 6.230
_cell_length_c 6.228
_cell_angle_alpha 90.00
_cell_angle_beta 90.00
_cell_angle_gamma 90.00
_space_group_name_H-M_alt 'P 4/m m m'
_space_group_IT_number 123
_space_group_name_Hall '-P 4 2'
loop_
_atom_site_label
_atom_site_type_symbol
_atom_site_fract_x
_atom_site_fract_y
_atom_site_fract_z
La1 La 0.000 0.000 0.000
V1 V 0.500 0.500 0.500
Te1 Te 0.000 0.000 0.500
I1 I 0.000 0.500 0.000
```

=====

# LaVTe2I

A relaxed structure of LaVTe2I (PBE-GGA, the Alexandria database).

Summary:
Its formation energy from raw total energies is 2.7 eV/f.u. For the energy above the most stable polymorph in this dataset, the calculation gives 1.063 eV/atom. Its theoretical density is 3.65 g/cm3. The calculation puts the magnetization at 3.6 μB per cell. The density of states at the Fermi level is 9.24 states/eV/f.u.

CIF file:
```
data_LaVTe2I
_cell_length_a 5.942
_cell_length_b 5.942
_cell_length_c 7.380
_cell_angle_alpha 90.00
_cell_angle_beta 90.00
_cell_angle_gamma 90.00
_space_group_name_H-M_alt 'P 4/m m m'
_space_group_IT_number 123
_space_group_name_Hall '-P 4 2'
loop_
_atom_site_label
_atom_site_type_symbol
_atom_site_fract_x
_atom_site_fract_y
_atom_site_fract_z
La1 La 0.000 0.000 0.000
V1 V 0.000 0.000 0.500
Te1 Te 0.000 0.500 0.000
I1 I 0.500 0.500 0.500
```

=====

# LaTeWI2

A relaxed structure of LaTeWI2 (PBE-GGA, the Alexandria database).

Summary:
Its formation energy from raw total energies is 3.1 eV/f.u. Its theoretical density is 4.89 g/cm3. The calculation puts the magnetization at 5.0 μB per cell. The density of states at the Fermi level is 4.41 states/eV/f.u.

CIF file:
```
data_LaTeWI2
_cell_length_a 6.147
_cell_length_b 6.147
_cell_length_c 6.329
_cell_angle_alpha 90.00
_cell_angle_beta 90.00
_cell_angle_gamma 90.00
_space_group_name_H-M_alt 'P 4/m m m'
_space_group_IT_number 123
_space_group_name_Hall '-P 4 2'
loop_
_atom_site_label
_atom_site_type_symbol
_atom_site_fract_x
_atom_site_fract_y
_atom_site_fract_z
La1 La 0.000 0.000 0.000
Te1 Te 0.000 0.000 0.500
W1 W 0.500 0.500 0.500
I1 I 0.000 0.500 0.000
```

=====

# LaYTe2I

A relaxed structure of LaYTe2I (PBE-GGA, the Alexandria database).

Summary:
Its formation energy from raw total energies is -2.5 eV/f.u. Its theoretical density is 4.52 g/cm3. The calculation puts the magnetization at 0.1 μB per cell. The density of states at the Fermi level is 4.97 states/eV/f.u.

CIF file:
```
data_LaYTe2I
_cell_length_a 6.121
_cell_length_b 6.121
_cell_length_c 5.988
_cell_angle_alpha 90.00
_cell_angle_beta 90.00
_cell_angle_gamma 90.00
_space_group_name_H-M_alt 'P 4/m m m'
_space_group_IT_number 123
_space_group_name_Hall '-P 4 2'
loop_
_atom_site_label
_atom_site_type_symbol
_atom_site_fract_x
_atom_site_fract_y
_atom_site_fract_z
La1 La 0.000 0.000 0.000
Y1 Y 0.500 0.500 0.500
Te1 Te 0.000 0.500 0.000
I1 I 0.000 0.000 0.500
```

=====

# LaYTeI2

A relaxed structure of LaYTeI2 (PBE-GGA, the Alexandria database).

Summary:
Its formation energy from raw total energies is -2.5 eV/f.u. For the energy above the most stable polymorph in this dataset, the calculation gives 0.202 eV/atom. Its theoretical density is 4.26 g/cm3. The calculation puts the magnetization at 0.1 μB per cell. The density of states at the Fermi level is 2.95 states/eV/f.u.

CIF file:
```
data_LaYTeI2
_cell_length_a 6.182
_cell_length_b 6.182
_cell_length_c 6.208
_cell_angle_alpha 90.00
_cell_angle_beta 90.00
_cell_angle_gamma 90.00
_space_group_name_H-M_alt 'P 4/m m m'
_space_group_IT_number 123
_space_group_name_Hall '-P 4 2'
loop_
_atom_site_label
_atom_site_type_symbol
_atom_site_fract_x
_atom_site_fract_y
_atom_site_fract_z
La1 La 0.000 0.000 0.000
Y1 Y 0.500 0.500 0.500
Te1 Te 0.000 0.000 0.500
I1 I 0.000 0.500 0.000
```

=====

# LaYTeI2

A relaxed structure of LaYTeI2 (PBE-GGA, the Alexandria database).

Summary:
Its formation energy from raw total energies is -3.6 eV/f.u. For the energy above the most stable polymorph in this dataset, the calculation gives 0.000 eV/atom. Its theoretical density is 5.06 g/cm3. The calculation puts the magnetization at 1.3 μB per cell. The density of states at the Fermi level is 8.69 states/eV/f.u.

CIF file:
```
data_LaYTeI2
_cell_length_a 5.825
_cell_length_b 5.825
_cell_length_c 5.897
_cell_angle_alpha 90.00
_cell_angle_beta 90.00
_cell_angle_gamma 90.00
_space_group_name_H-M_alt 'P 4/m m m'
_space_group_IT_number 123
_space_group_name_Hall '-P 4 2'
loop_
_atom_site_label
_atom_site_type_symbol
_atom_site_fract_x
_atom_site_fract_y
_atom_site_fract_z
La1 La 0.000 0.000 0.000
Y1 Y 0.500 0.500 0.500
Te1 Te 0.500 0.500 0.000
I1 I 0.000 0.500 0.500
```

=====

# La8ZnTe3I4

A relaxed structure of La8ZnTe3I4 (PBE-GGA, the Alexandria database).

Summary:
Its formation energy from raw total energies is -18.1 eV/f.u. Its theoretical density is 6.26 g/cm3. The calculation puts the magnetization at 0.0 μB per cell. The density of states at the Fermi level is 13.37 states/eV/f.u.

CIF file:
```
data_La8ZnTe3I4
_cell_length_a 9.2009
_cell_length_b 9.2009
_cell_length_c 22.4283
_cell_angle_alpha 90.00
_cell_angle_beta 90.00
_cell_angle_gamma 120.00
_space_group_name_H-M_alt 'R -3 m'
_space_group_IT_number 166
_space_group_name_Hall '-R 3 2"'
loop_
_atom_site_label
_atom_site_type_symbol
_atom_site_fract_x
_atom_site_fract_y
_atom_site_fract_z
La1 La 0.0000 0.0000 0.2446
La2 La 0.0190 0.5095 0.2409
Zn1 Zn 0.0000 0.0000 0.5000
Te1 Te 0.0000 0.5000 0.5000
I1 I 0.0000 0.0000 0.0000
I2 I 0.0000 0.5000 0.0000
```

=====

# LaZnTeI2

A relaxed structure of LaZnTeI2 (PBE-GGA, the Alexandria database).

Summary:
Its formation energy from raw total energies is -2.5 eV/f.u. For the energy above the most stable polymorph in this dataset, the calculation gives 0.097 eV/atom. Its theoretical density is 5.83 g/cm3. The calculation puts the magnetization at 0.4 μB per cell. The density of states at the Fermi level is 5.71 states/eV/f.u.

CIF file:
```
data_LaZnTeI2
_cell_length_a 5.493
_cell_length_b 5.493
_cell_length_c 5.527
_cell_angle_alpha 90.00
_cell_angle_beta 90.00
_cell_angle_gamma 90.00
_space_group_name_H-M_alt 'P 4/m m m'
_space_group_IT_number 123
_space_group_name_Hall '-P 4 2'
loop_
_atom_site_label
_atom_site_type_symbol
_atom_site_fract_x
_atom_site_fract_y
_atom_site_fract_z
La1 La 0.000 0.000 0.000
Zn1 Zn 0.500 0.500 0.500
Te1 Te 0.500 0.500 0.000
I1 I 0.000 0.500 0.500
```

=====

# LaZnTeI2

A relaxed structure of LaZnTeI2 (PBE-GGA, the Alexandria database).

Summary:
Its formation energy from raw total energies is -3.0 eV/f.u. For the energy above the most stable polymorph in this dataset, the calculation gives 0.000 eV/atom. Its theoretical density is 3.88 g/cm3. The calculation puts the magnetization at 0.9 μB per cell. The density of states at the Fermi level is 4.75 states/eV/f.u.

CIF file:
```
data_LaZnTeI2
_cell_length_a 6.283
_cell_length_b 6.283
_cell_length_c 6.343
_cell_angle_alpha 90.00
_cell_angle_beta 90.00
_cell_angle_gamma 90.00
_space_group_name_H-M_alt 'P 4/m m m'
_space_group_IT_number 123
_space_group_name_Hall '-P 4 2'
loop_
_atom_site_label
_atom_site_type_symbol
_atom_site_fract_x
_atom_site_fract_y
_atom_site_fract_z
La1 La 0.000 0.000 0.000
Zn1 Zn 0.500 0.500 0.500
Te1 Te 0.000 0.000 0.500
I1 I 0.000 0.500 0.000
```

=====

# La2ThI

A relaxed structure of La2ThI (PBE-GGA, the Alexandria database).

Summary:
Its formation energy from raw total energies is -1.6 eV/f.u. For the energy above the most stable polymorph in this dataset, the calculation gives 0.011 eV/atom. Its theoretical density is 7.60 g/cm3. The calculation puts the magnetization at 0.0 μB per cell. The density of states at the Fermi level is 5.30 states/eV/f.u.

CIF file:
```
data_La2ThI
_cell_length_a 3.8284
_cell_length_b 3.8284
_cell_length_c 32.8890
_cell_angle_alpha 90.00
_cell_angle_beta 90.00
_cell_angle_gamma 120.00
_space_group_name_H-M_alt 'R 3 m'
_space_group_IT_number 160
_space_group_name_Hall 'R 3 -2"'
loop_
_atom_site_label
_atom_site_type_symbol
_atom_site_fract_x
_atom_site_fract_y
_atom_site_fract_z
La1 La 0.0000 0.0000 0.0000
La2 La 0.0000 0.0000 0.1756
Th1 Th 0.0000 0.0000 0.4208
I1 I 0.0000 0.0000 0.5873
```

=====

Look up the formation energy from raw total energies of the third one. 3.1 eV/f.u.

=====

The highest magnetization belongs to which entry? LaTeWI2

=====

Which of these has the lowest formation energy from raw total energies? La8ZnTe3I4